1.
This record from OQMD describes a relaxed structure of PmHfAg. The functional is PBE. Values from VASP.

Geometry as Quantum ESPRESSO input:
```
&SYSTEM
  ibrav = 0, nat = 3, ntyp = 3
/
ATOMIC_SPECIES
Ag 107.87 Ag.upf
Hf 178.49 Hf.upf
Pm 145.00 Pm.upf
CELL_PARAMETERS angstrom
1.268 1.404 4.479
0.891 4.691 0.916
-3.105 2.580 2.709
ATOMIC_POSITIONS crystal
Ag 0.250 0.250 0.250
Hf 0.750 0.750 0.750
Pm 0.000 0.000 0.000
```

Summary:
- Uncorrected energy: -4.84 eV per atom
- Symmetry: F-43m
- Calculated formation energy: 1.00 eV per atom

2.
This record from OQMD describes a relaxed structure of BaCu13. The functional is PBE. Values from VASP.

Geometry as Quantum ESPRESSO input:
```
&SYSTEM
  ibrav = 0, nat = 28, ntyp = 2
/
ATOMIC_SPECIES
Ba 137.33 Ba.upf
Cu 63.55 Cu.upf
CELL_PARAMETERS angstrom
0.000 5.843 -5.843
-5.843 -5.843 0.000
0.000 5.843 5.843
ATOMIC_POSITIONS crystal
Ba 0.750 0.500 0.250
Ba 0.250 0.500 0.750
Cu 0.000 0.000 0.000
Cu 0.705 0.769 0.064
Cu 0.295 0.000 0.064
Cu 0.064 0.358 0.064
Cu 0.564 0.000 0.205
Cu 0.205 0.769 0.205
Cu 0.436 0.642 0.205
Cu 0.936 0.231 0.295
Cu 0.064 0.000 0.295
Cu 0.295 0.358 0.295
Cu 0.436 0.231 0.436
Cu 0.205 0.642 0.436
Cu 0.795 0.000 0.436
Cu 0.500 0.000 0.500
Cu 0.795 0.358 0.564
Cu 0.205 0.000 0.564
Cu 0.564 0.769 0.564
Cu 0.936 0.000 0.705
Cu 0.705 0.642 0.705
Cu 0.064 0.769 0.705
Cu 0.436 0.000 0.795
Cu 0.795 0.231 0.795
Cu 0.564 0.358 0.795
Cu 0.705 0.000 0.936
Cu 0.295 0.231 0.936
Cu 0.936 0.642 0.936
```

Summary:
- Uncorrected energy: -3.61 eV per atom
- Symmetry: Fm-3c

3.
This record from OQMD describes a relaxed structure of CdC8. The functional is PBE. Values from VASP.

Geometry as Quantum ESPRESSO input:
```
&SYSTEM
  ibrav = 0, nat = 9, ntyp = 2
/
ATOMIC_SPECIES
C 12.01 C.upf
Cd 112.41 Cd.upf
CELL_PARAMETERS angstrom
-1.393 -2.481 4.017
2.026 -2.396 -3.794
5.730 0.859 2.517
ATOMIC_POSITIONS crystal
C 0.333 0.167 0.000
C 0.833 0.167 0.000
C 0.667 0.333 0.000
C 0.167 0.333 0.000
C 0.833 0.667 0.000
C 0.333 0.667 0.000
C 0.167 0.833 0.000
C 0.667 0.833 0.000
Cd 0.000 0.000 0.500
```

Summary:
- Uncorrected energy: -8.20 eV per atom
- Symmetry: P6/mmm
- Energy relative to the lowest polymorph listed for this composition: 7 meV per atom

4.
This record from OQMD describes a relaxed structure of NaAc3Pt8. The functional is PBE. Values from VASP.

Geometry as Quantum ESPRESSO input:
```
&SYSTEM
  ibrav = 0, nat = 12, ntyp = 3
/
ATOMIC_SPECIES
Ac 227.00 Ac.upf
Na 22.99 Na.upf
Pt 195.08 Pt.upf
CELL_PARAMETERS angstrom
2.799 1.616 9.161
-2.799 1.616 9.161
0.000 -3.232 9.161
ATOMIC_POSITIONS crystal
Ac 0.007 0.007 0.007
Ac 0.494 0.494 0.494
Ac 0.623 0.623 0.623
Na 0.129 0.129 0.129
Pt 0.564 0.564 0.059
Pt 0.563 0.062 0.062
Pt 0.062 0.563 0.062
Pt 0.312 0.312 0.312
Pt 0.062 0.062 0.563
Pt 0.564 0.059 0.564
Pt 0.059 0.564 0.564
Pt 0.812 0.812 0.812
```

Summary:
- Uncorrected energy: -6.10 eV per atom
- Symmetry: R3m

5.
This record from OQMD describes a relaxed structure of Sr2SbAsAu2. The functional is PBE. Values from VASP.

Geometry as Quantum ESPRESSO input:
```
&SYSTEM
  ibrav = 0, nat = 6, ntyp = 4
/
ATOMIC_SPECIES
As 74.92 As.upf
Au 196.97 Au.upf
Sb 121.76 Sb.upf
Sr 87.62 Sr.upf
CELL_PARAMETERS angstrom
-4.638 -0.034 -0.160
2.184 -0.361 4.079
-0.091 8.541 0.805
ATOMIC_POSITIONS crystal
As 0.000 0.000 0.499
Au 0.000 0.000 0.002
Au 0.333 0.667 0.501
Sb 0.333 0.667 0.999
Sr 0.667 0.333 0.260
Sr 0.667 0.333 0.740
```

Summary:
- Uncorrected energy: -4.01 eV per atom
- Symmetry: P3m1

6.
This record from OQMD describes a relaxed structure of Li2LaAg2. The functional is PBE. Values from VASP.

Geometry as Quantum ESPRESSO input:
```
&SYSTEM
  ibrav = 0, nat = 5, ntyp = 3
/
ATOMIC_SPECIES
Ag 107.87 Ag.upf
La 138.91 La.upf
Li 6.94 Li.upf
CELL_PARAMETERS angstrom
-2.056 2.056 6.542
2.056 -2.056 6.542
2.056 2.056 -6.542
ATOMIC_POSITIONS crystal
Ag 0.390 0.390 0.000
Ag 0.610 0.610 0.000
La 0.000 0.000 0.000
Li 0.750 0.250 0.500
Li 0.250 0.750 0.500
```

Summary:
- Uncorrected energy: -3.10 eV per atom
- Symmetry: I4/mmm

7.
This record from OQMD describes a relaxed structure of ReNiHgBi. The functional is PBE. Values from VASP.

Geometry as Quantum ESPRESSO input:
```
&SYSTEM
  ibrav = 0, nat = 4, ntyp = 4
/
ATOMIC_SPECIES
Bi 208.98 Bi.upf
Hg 200.59 Hg.upf
Ni 58.69 Ni.upf
Re 186.21 Re.upf
CELL_PARAMETERS angstrom
-1.681 -2.945 -3.382
-3.989 1.134 -2.397
0.255 1.259 -4.614
ATOMIC_POSITIONS crystal
Bi 0.000 0.000 0.000
Hg 0.250 0.250 0.250
Ni 0.750 0.750 0.750
Re 0.500 0.500 0.500
```

Summary:
- Uncorrected energy: -4.48 eV per atom
- Symmetry: F-43m

8.
This record from OQMD describes a relaxed structure of YCdFePb. The functional is PBE. Values from VASP.

Geometry as Quantum ESPRESSO input:
```
&SYSTEM
  ibrav = 0, nat = 4, ntyp = 4
/
ATOMIC_SPECIES
Cd 112.41 Cd.upf
Fe 55.84 Fe.upf
Pb 207.20 Pb.upf
Y 88.91 Y.upf
CELL_PARAMETERS angstrom
2.468 -2.072 3.839
0.715 2.608 4.220
-2.467 -1.264 4.176
ATOMIC_POSITIONS crystal
Cd 0.250 0.250 0.250
Fe 0.750 0.750 0.750
Pb 0.000 0.000 0.000
Y 0.500 0.500 0.500
```

Summary:
- Uncorrected energy: -4.67 eV per atom
- Symmetry: F-43m
- Energy relative to the lowest polymorph listed for this composition: 28 meV per atom

9.
This record from OQMD describes a relaxed structure of CsCuIrSe2S. The functional is PBE. Values from VASP.

Geometry as Quantum ESPRESSO input:
```
&SYSTEM
  ibrav = 0, nat = 12, ntyp = 5
/
ATOMIC_SPECIES
Cs 132.91 Cs.upf
Cu 63.55 Cu.upf
Ir 192.22 Ir.upf
S 32.06 S.upf
Se 78.96 Se.upf
CELL_PARAMETERS angstrom
2.435 7.644 1.341
-5.487 -5.522 -2.357
-3.358 -0.512 9.015
ATOMIC_POSITIONS crystal
Cs 0.750 0.250 0.250
Cs 0.250 0.750 0.750
Cu 0.474 0.526 0.250
Cu 0.526 0.474 0.750
Ir 0.000 0.000 0.000
Ir 0.000 0.000 0.500
S 0.054 0.946 0.250
S 0.946 0.054 0.750
Se 0.398 0.602 0.037
Se 0.398 0.602 0.463
Se 0.602 0.398 0.537
Se 0.602 0.398 0.963
```

Summary:
- Uncorrected energy: -4.50 eV per atom
- Symmetry: Cmcm

10.
This record from OQMD describes a relaxed structure of Ta4TlGeC2. The functional is PBE. Values from VASP.

Geometry as Quantum ESPRESSO input:
```
&SYSTEM
  ibrav = 0, nat = 8, ntyp = 4
/
ATOMIC_SPECIES
C 12.01 C.upf
Ge 72.64 Ge.upf
Ta 180.95 Ta.upf
Tl 204.38 Tl.upf
CELL_PARAMETERS angstrom
3.226 0.000 0.000
-1.613 2.793 0.000
0.000 0.000 13.535
ATOMIC_POSITIONS crystal
C 0.333 0.667 0.265
C 0.333 0.667 0.735
Ge 0.667 0.333 0.500
Ta 0.667 0.333 0.180
Ta 0.000 0.000 0.353
Ta 0.000 0.000 0.647
Ta 0.667 0.333 0.820
Tl 0.000 0.000 0.000
```

Summary:
- Uncorrected energy: -9.46 eV per atom
- Symmetry: P-6m2

11.
This record from OQMD describes a relaxed structure of YCdIr. The functional is PBE. Values from VASP.

Geometry as Quantum ESPRESSO input:
```
&SYSTEM
  ibrav = 0, nat = 3, ntyp = 3
/
ATOMIC_SPECIES
Cd 112.41 Cd.upf
Ir 192.22 Ir.upf
Y 88.91 Y.upf
CELL_PARAMETERS angstrom
-2.024 -1.983 3.776
-4.074 1.708 1.664
-3.980 -2.491 -0.491
ATOMIC_POSITIONS crystal
Cd 0.500 0.500 0.500
Ir 0.000 0.000 0.000
Y 0.250 0.250 0.250
```

Summary:
- Uncorrected energy: -5.26 eV per atom
- Symmetry: F-43m
- Calculated formation energy: 0.14 eV per atom

12.
This record from OQMD describes a relaxed structure of Sr2Gd4Tm3. The functional is PBE. Values from VASP.

Geometry as Quantum ESPRESSO input:
```
&SYSTEM
  ibrav = 0, nat = 9, ntyp = 3
/
ATOMIC_SPECIES
Gd 157.25 Gd.upf
Sr 87.62 Sr.upf
Tm 168.93 Tm.upf
CELL_PARAMETERS angstrom
10.057 0.000 0.000
-5.029 8.710 0.000
0.000 0.000 3.607
ATOMIC_POSITIONS crystal
Gd 0.331 0.024 0.000
Gd 0.976 0.308 0.000
Gd 0.667 0.333 0.000
Gd 0.692 0.669 0.000
Sr 0.333 0.667 0.000
Sr 0.000 0.000 0.500
Tm 0.645 0.023 0.500
Tm 0.378 0.355 0.500
Tm 0.977 0.622 0.500
```

Summary:
- Uncorrected energy: -3.77 eV per atom
- Symmetry: P-6

13.
This record from OQMD describes a relaxed structure of Sc4Ta2Au3N3. The functional is PBE. Values from VASP.

Geometry as Quantum ESPRESSO input:
```
&SYSTEM
  ibrav = 0, nat = 24, ntyp = 4
/
ATOMIC_SPECIES
Au 196.97 Au.upf
N 14.01 N.upf
Sc 44.96 Sc.upf
Ta 180.95 Ta.upf
CELL_PARAMETERS angstrom
-4.184 3.507 1.004
-3.061 1.914 -4.217
-6.221 -12.534 2.487
ATOMIC_POSITIONS crystal
Au 0.584 0.721 0.249
Au 0.887 0.113 0.250
Au 0.279 0.416 0.251
Au 0.721 0.584 0.749
Au 0.113 0.887 0.750
Au 0.416 0.279 0.751
N 0.500 0.000 0.000
N 0.832 0.334 0.000
N 0.168 0.666 0.000
N 0.334 0.832 0.500
N 0.000 0.500 0.500
N 0.666 0.168 0.500
Sc 0.192 0.035 0.093
Sc 0.871 0.696 0.093
Sc 0.304 0.129 0.407
Sc 0.965 0.808 0.407
Sc 0.035 0.192 0.593
Sc 0.696 0.871 0.593
Sc 0.129 0.304 0.907
Sc 0.808 0.965 0.907
Ta 0.526 0.355 0.077
Ta 0.645 0.474 0.423
Ta 0.355 0.526 0.577
Ta 0.474 0.645 0.923
```

Summary:
- Uncorrected energy: -8.01 eV per atom
- Symmetry: C2/c

14.
This record from OQMD describes a relaxed structure of Ag2Sb2O5. The functional is PBE. Values from VASP.

Geometry as Quantum ESPRESSO input:
```
&SYSTEM
  ibrav = 0, nat = 9, ntyp = 3
/
ATOMIC_SPECIES
Ag 107.87 Ag.upf
O 16.00 O.upf
Sb 121.76 Sb.upf
CELL_PARAMETERS angstrom
-1.220 6.862 -2.021
-3.966 -0.429 0.937
0.767 1.262 3.822
ATOMIC_POSITIONS crystal
Ag 0.000 0.000 0.000
Ag 0.500 0.000 0.000
O 0.223 0.500 0.000
O 0.777 0.500 0.000
O 0.223 0.000 0.500
O 0.777 0.000 0.500
O 0.500 0.500 0.500
Sb 0.230 0.500 0.500
Sb 0.770 0.500 0.500
```

Summary:
- Uncorrected energy: -4.98 eV per atom
- Symmetry: P4/mmm
- Energy relative to the lowest polymorph listed for this composition: 0 meV per atom

15.
This record from OQMD describes a relaxed structure of CsGeAuSe2S. The functional is PBE. Values from VASP.

Geometry as Quantum ESPRESSO input:
```
&SYSTEM
  ibrav = 0, nat = 12, ntyp = 5
/
ATOMIC_SPECIES
Au 196.97 Au.upf
Cs 132.91 Cs.upf
Ge 72.64 Ge.upf
S 32.06 S.upf
Se 78.96 Se.upf
CELL_PARAMETERS angstrom
-0.911 3.807 7.457
-3.195 -2.286 -7.450
-3.337 -9.036 4.204
ATOMIC_POSITIONS crystal
Au 0.073 0.927 0.250
Au 0.927 0.073 0.750
Cs 0.756 0.244 0.250
Cs 0.244 0.756 0.750
Ge 0.500 0.500 0.000
Ge 0.500 0.500 0.500
S 0.510 0.490 0.250
S 0.490 0.510 0.750
Se 0.109 0.891 0.015
Se 0.109 0.891 0.485
Se 0.891 0.109 0.515
Se 0.891 0.109 0.985
```

Summary:
- Uncorrected energy: -3.62 eV per atom
- Symmetry: Cmcm

16.
This record from OQMD describes a relaxed structure of Lu3ZrHg2C2. The functional is PBE. Values from VASP.

Geometry as Quantum ESPRESSO input:
```
&SYSTEM
  ibrav = 0, nat = 8, ntyp = 4
/
ATOMIC_SPECIES
C 12.01 C.upf
Hg 200.59 Hg.upf
Lu 174.97 Lu.upf
Zr 91.22 Zr.upf
CELL_PARAMETERS angstrom
3.464 0.000 0.000
-1.732 3.000 0.000
0.000 0.000 15.319
ATOMIC_POSITIONS crystal
C 0.000 0.000 0.008
C 0.000 0.000 0.500
Hg 0.667 0.333 0.245
Hg 0.333 0.667 0.751
Lu 0.333 0.667 0.413
Lu 0.667 0.333 0.586
Lu 0.667 0.333 0.914
Zr 0.333 0.667 0.083
```

Summary:
- Uncorrected energy: -5.61 eV per atom
- Symmetry: P3m1

17.
This record from OQMD describes a relaxed structure of BaHf2. The functional is PBE. Values from VASP.

Geometry as Quantum ESPRESSO input:
```
&SYSTEM
  ibrav = 0, nat = 3, ntyp = 2
/
ATOMIC_SPECIES
Ba 137.33 Ba.upf
Hf 178.49 Hf.upf
CELL_PARAMETERS angstrom
-2.126 -7.171 4.150
-3.682 -3.687 6.783
0.879 5.377 -6.594
ATOMIC_POSITIONS crystal
Ba 0.000 0.000 0.000
Hf 0.309 0.309 0.000
Hf 0.691 0.691 0.000
```

Summary:
- Uncorrected energy: -6.88 eV per atom
- Symmetry: I4/mmm
- Energy relative to the lowest polymorph listed for this composition: 0 meV per atom

18.
This record from OQMD describes a relaxed structure of Y2ReSi2WC. The functional is PBE. Values from VASP.

Geometry as Quantum ESPRESSO input:
```
&SYSTEM
  ibrav = 0, nat = 7, ntyp = 5
/
ATOMIC_SPECIES
C 12.01 C.upf
Re 186.21 Re.upf
Si 28.09 Si.upf
W 183.84 W.upf
Y 88.91 Y.upf
CELL_PARAMETERS angstrom
5.511 -1.942 0.000
5.511 1.942 0.000
-4.172 0.000 5.707
ATOMIC_POSITIONS crystal
C 0.998 0.998 0.998
Re 0.791 0.791 0.914
Si 0.868 0.868 0.333
Si 0.140 0.140 0.671
W 0.205 0.205 0.083
Y 0.573 0.573 0.300
Y 0.424 0.424 0.701
```

Summary:
- Uncorrected energy: -8.92 eV per atom
- Symmetry: Cm

19.
This record from OQMD describes a relaxed structure of PaTcSb. The functional is PBE. Values from VASP.

Geometry as Quantum ESPRESSO input:
```
&SYSTEM
  ibrav = 0, nat = 3, ntyp = 3
/
ATOMIC_SPECIES
Pa 231.04 Pa.upf
Sb 121.76 Sb.upf
Tc 98.00 Tc.upf
CELL_PARAMETERS angstrom
-2.025 -4.076 -1.552
-1.623 -3.236 3.165
-4.730 -0.687 0.525
ATOMIC_POSITIONS crystal
Pa 0.000 0.000 0.000
Sb 0.250 0.250 0.250
Tc 0.750 0.750 0.750
```

Summary:
- Uncorrected energy: -7.35 eV per atom
- Symmetry: F-43m

20.
This record from OQMD describes a relaxed structure of CsMgCd3As3. The functional is PBE. Values from VASP.

Geometry as Quantum ESPRESSO input:
```
&SYSTEM
  ibrav = 0, nat = 8, ntyp = 4
/
ATOMIC_SPECIES
As 74.92 As.upf
Cd 112.41 Cd.upf
Cs 132.91 Cs.upf
Mg 24.30 Mg.upf
CELL_PARAMETERS angstrom
-3.867 2.198 0.827
-2.295 -3.881 -0.417
1.219 -1.864 10.646
ATOMIC_POSITIONS crystal
As 0.000 0.000 0.006
As 0.500 0.500 0.296
As 0.500 0.500 0.698
Cd 0.000 0.500 0.163
Cd 0.000 0.500 0.837
Cd 0.500 0.000 0.839
Cs 0.000 0.000 0.498
Mg 0.500 0.000 0.162
```

Summary:
- Uncorrected energy: -2.75 eV per atom
- Symmetry: Pmm2